Entry 1:
A PBEsol-optimized structure of TlCd2Ni, computed with SCAN.

Structure (POSCAR):
```
TlCd2Ni
1.0
-2.110 2.110 4.151
2.110 -2.110 4.151
2.110 2.110 -4.151
Tl Cd Ni
1 2 1
direct
0.000 0.000 0.000
0.500 0.500 0.000
0.750 0.250 0.500
0.250 0.750 0.500
```

Computed properties:
Energy: -148.2 eV/cell



Entry 2:
A PBEsol-optimized structure of YHg2Sb, computed with SCAN.

Structure (POSCAR):
```
YHg2Sb
1.0
3.946 0.000 0.000
0.000 3.946 0.000
0.000 0.000 6.197
Y Hg Sb
1 2 1
direct
0.000 0.000 0.000
0.500 0.500 0.253
0.500 0.500 0.747
0.000 0.000 0.500
```

Computed properties:
Energy: -203.0 eV/cell
E_form (uncorrected): -0.379 eV per atom



Entry 3:
A PBEsol-optimized structure of AlSiAs2Se, computed with SCAN.

Structure (POSCAR):
```
AlSiAs2Se
1.0
4.772 0.000 0.000
0.000 4.772 0.000
0.000 0.000 4.790
Al Si As Se
1 1 2 1
direct
0.000 0.000 0.000
0.500 0.500 0.500
0.000 0.500 0.000
0.500 0.000 0.000
0.000 0.000 0.500
```

Computed properties:
Energy: -74.7 eV/cell
E_form (uncorrected): 0.708 eV per atom



Entry 4:
A PBEsol-optimized structure of Tl2HgRh, computed with SCAN.

Structure (POSCAR):
```
Tl2HgRh
1.0
-1.529 2.278 6.471
1.529 -2.278 6.471
1.529 2.278 -6.471
Tl Hg Rh
2 1 1
direct
0.000 0.000 0.000
0.693 0.193 0.500
0.318 0.818 0.500
0.503 0.503 0.000
```

Computed properties:
Excess energy over the best structure of this formula in the dataset: 8 kJ/mol of formula units
Energy: -246.4 eV/cell



Entry 5:
A PBEsol-optimized structure of InTeRh2I, computed with SCAN.

Structure (POSCAR):
```
InTeRh2I
1.0
4.863 0.000 0.000
0.000 4.863 0.000
0.000 0.000 5.742
In Te Rh I
1 1 2 1
direct
0.000 0.000 0.000
0.000 0.000 0.500
0.000 0.500 0.500
0.500 0.000 0.500
0.500 0.500 0.000
```

Computed properties:
Energy: -171.6 eV/cell
E_form (uncorrected): 0.659 eV per atom



Entry 6:
A PBEsol-optimized structure of KYAs2, computed with SCAN.

Structure (POSCAR):
```
KYAs2
1.0
4.834 0.000 0.000
0.000 4.834 0.000
0.000 0.000 3.990
K Y As
1 1 2
direct
0.000 0.000 0.000
0.500 0.500 0.000
0.000 0.500 0.500
0.500 0.000 0.500
```

Computed properties:
Excess energy over the best structure of this formula in the dataset: 51 kJ/mol of formula units
Energy: -79.0 eV/cell



Entry 7:
A PBEsol-optimized structure of NiPt3O6, computed with SCAN.

Structure (POSCAR):
```
NiPt3O6
1.0
3.559 -4.934 0.000
3.559 4.934 0.000
0.000 0.000 3.137
Ni Pt O
1 3 6
direct
0.000 0.000 0.000
0.000 0.500 0.500
0.500 0.000 0.500
0.500 0.500 0.000
0.143 0.857 0.500
0.162 0.415 0.000
0.415 0.162 0.000
0.585 0.838 0.000
0.838 0.585 0.000
0.857 0.143 0.500
```

Computed properties:
Energy: -272.1 eV/cell
E_form (uncorrected): -0.799 eV per atom



Entry 8:
A PBEsol-optimized structure of NaAl2TcMo, computed with SCAN.

Structure (POSCAR):
```
NaAl2TcMo
1.0
4.834 0.000 0.000
0.000 4.834 0.000
0.000 0.000 4.681
Na Al Tc Mo
1 2 1 1
direct
0.000 0.000 0.000
0.000 0.500 0.500
0.500 0.000 0.500
0.500 0.500 0.500
0.500 0.500 0.000
```

Computed properties:
Excess energy over the best structure of this formula in the dataset: 0 kJ/mol of formula units
Energy: -87.1 eV/cell



Entry 9:
A PBEsol-optimized structure of ScZn2Ir, computed with SCAN.

Structure (POSCAR):
```
ScZn2Ir
1.0
2.879 0.000 0.000
0.000 4.443 0.000
-1.133 0.000 4.862
Sc Zn Ir
1 2 1
direct
0.000 0.000 0.000
0.352 0.500 0.730
0.648 0.500 0.270
0.500 0.000 0.500
```

Computed properties:
Energy: -114.1 eV/cell



Entry 10:
A PBEsol-optimized structure of Ba3Hf2O7, computed with SCAN.

Structure (POSCAR):
```
Ba3Hf2O7
1.0
-2.075 2.075 10.860
2.075 -2.075 10.860
2.075 2.075 -10.860
Ba Hf O
3 2 7
direct
0.000 0.000 0.000
0.186 0.186 0.000
0.814 0.814 0.000
0.403 0.403 0.000
0.597 0.597 0.000
0.096 0.596 0.500
0.308 0.308 0.000
0.404 0.904 0.500
0.500 0.500 0.000
0.596 0.096 0.500
0.692 0.692 0.000
0.904 0.404 0.500
```

Computed properties:
Energy: -330.1 eV/cell
E_form (uncorrected): -3.544 eV per atom



Entry 11:
A PBEsol-optimized structure of KTi5Se8, computed with SCAN.

Structure (POSCAR):
```
KTi5Se8
1.0
9.245 -1.763 0.000
9.245 1.763 0.000
-2.275 0.000 8.787
K Ti Se
1 5 8
direct
0.000 0.000 0.000
0.156 0.156 0.499
0.209 0.209 0.851
0.500 0.500 0.500
0.791 0.791 0.149
0.844 0.844 0.501
0.074 0.074 0.678
0.256 0.256 0.333
0.341 0.341 0.999
0.413 0.413 0.682
0.587 0.587 0.318
0.659 0.659 0.001
0.744 0.744 0.667
0.926 0.926 0.322
```

Computed properties:
Energy: -268.0 eV/cell
E_form (uncorrected): -1.350 eV per atom



Entry 12:
A PBEsol-optimized structure of MgCr4Cu3O12, computed with SCAN.

Structure (POSCAR):
```
MgCr4Cu3O12
1.0
-3.568 3.568 3.568
3.568 -3.568 3.568
3.568 3.568 -3.568
Mg Cr Cu O
1 4 3 12
direct
0.000 0.000 0.000
0.000 0.000 0.500
0.000 0.500 0.000
0.500 0.000 0.000
0.500 0.500 0.500
0.000 0.500 0.500
0.500 0.000 0.500
0.500 0.500 0.000
0.121 0.820 0.300
0.180 0.300 0.480
0.180 0.700 0.879
0.300 0.121 0.820
0.300 0.480 0.180
0.480 0.180 0.300
0.520 0.820 0.700
0.700 0.520 0.820
0.700 0.879 0.180
0.820 0.300 0.121
0.820 0.700 0.520
0.879 0.180 0.700
```

Computed properties:
Energy: -235.4 eV/cell
E_form (uncorrected): -1.826 eV per atom



Entry 13:
A PBEsol-optimized structure of AlCoI2, computed with SCAN.

Structure (POSCAR):
```
AlCoI2
1.0
-3.858 3.858 3.550
3.858 -3.858 3.550
3.858 3.858 -3.550
Al Co I
2 2 4
direct
0.000 0.000 0.000
0.750 0.250 0.500
0.250 0.750 0.500
0.500 0.500 0.000
0.203 0.625 0.078
0.375 0.453 0.578
0.547 0.125 0.922
0.875 0.797 0.422
```

Computed properties:
Energy: -193.9 eV/cell
E_form (uncorrected): 0.398 eV per atom



Entry 14:
A PBEsol-optimized structure of Mn4CrO8, computed with SCAN.

Structure (POSCAR):
```
Mn4CrO8
1.0
4.981 -2.861 0.000
4.981 2.861 0.000
-3.319 0.000 4.749
Mn Cr O
4 1 8
direct
0.000 0.000 0.000
0.000 0.500 0.000
0.500 0.000 0.000
0.500 0.500 0.500
0.000 0.000 0.500
0.223 0.747 0.245
0.238 0.238 0.774
0.246 0.246 0.219
0.253 0.777 0.755
0.747 0.223 0.245
0.754 0.754 0.781
0.762 0.762 0.226
0.777 0.253 0.755
```

Computed properties:
Energy: -169.0 eV/cell
E_form (uncorrected): -2.135 eV per atom



Entry 15:
A PBEsol-optimized structure of SbAsI2N, computed with SCAN.

Structure (POSCAR):
```
SbAsI2N
1.0
4.878 0.000 0.000
0.000 4.878 0.000
0.000 0.000 4.757
Sb As I N
1 1 2 1
direct
0.000 0.000 0.000
0.500 0.500 0.000
0.000 0.500 0.500
0.500 0.000 0.500
0.000 0.000 0.500
```

Computed properties:
Excess energy over the best structure of this formula in the dataset: 47 kJ/mol of formula units
Energy: -134.5 eV/cell
E_form (uncorrected): 1.139 eV per atom



Entry 16:
A PBEsol-optimized structure of NaScP2H2O8, computed with SCAN.

Structure (POSCAR):
```
NaScP2H2O8
1.0
5.205 -8.150 0.000
5.205 8.150 0.000
-4.953 0.000 7.625
Na Sc P H O
4 4 8 8 32
direct
0.173 0.827 0.500
0.249 0.624 0.923
0.624 0.249 0.423
0.827 0.173 0.000
0.174 0.902 0.134
0.451 0.677 0.668
0.677 0.451 0.168
0.902 0.174 0.634
0.007 0.456 0.457
0.340 0.370 0.801
0.370 0.340 0.301
0.456 0.007 0.957
0.473 0.850 0.381
0.850 0.473 0.881
0.875 0.879 0.279
0.879 0.875 0.779
0.146 0.375 0.346
0.152 0.163 0.042
0.163 0.152 0.542
0.375 0.146 0.846
0.557 0.704 0.237
0.679 0.810 0.029
0.704 0.557 0.737
0.810 0.679 0.529
0.021 0.866 0.258
0.022 0.344 0.302
0.023 0.641 0.950
0.036 0.955 0.957
0.168 0.336 0.797
0.194 0.607 0.599
0.228 0.293 0.123
0.293 0.228 0.623
0.313 0.858 0.314
0.336 0.168 0.297
0.343 0.915 0.028
0.344 0.022 0.802
0.346 0.445 0.444
0.445 0.346 0.944
0.446 0.556 0.828
0.449 0.707 0.217
0.476 0.796 0.523
0.525 0.903 0.880
0.556 0.446 0.328
0.607 0.194 0.099
0.641 0.023 0.450
0.707 0.449 0.717
0.709 0.734 0.758
0.734 0.709 0.258
0.782 0.917 0.135
0.796 0.476 0.023
0.858 0.313 0.814
0.866 0.021 0.758
0.903 0.525 0.380
0.915 0.343 0.528
0.917 0.782 0.635
0.955 0.036 0.457
```

Computed properties:
Energy: -524.3 eV/cell



Entry 17:
A PBEsol-optimized structure of CrCo2Rh, computed with SCAN.

Structure (POSCAR):
```
CrCo2Rh
1.0
0.000 2.855 2.855
2.855 0.000 2.855
2.855 2.855 0.000
Cr Co Rh
1 2 1
direct
0.000 0.000 0.000
0.250 0.250 0.250
0.500 0.500 0.500
0.750 0.750 0.750
```

Computed properties:
Energy: -86.5 eV/cell



Entry 18:
A PBEsol-optimized structure of Rb2LiCeBr6, computed with SCAN.

Structure (POSCAR):
```
Rb2LiCeBr6
1.0
0.000 5.514 5.514
5.514 0.000 5.514
5.514 5.514 0.000
Rb Li Ce Br
2 1 1 6
direct
0.250 0.250 0.250
0.750 0.750 0.750
0.000 0.000 0.000
0.500 0.500 0.500
0.242 0.242 0.758
0.242 0.758 0.242
0.242 0.758 0.758
0.758 0.242 0.242
0.758 0.242 0.758
0.758 0.758 0.242
```

Computed properties:
Energy: -224.6 eV/cell
E_form (uncorrected): -1.939 eV per atom



Entry 19:
A PBEsol-optimized structure of YTlZn2W, computed with SCAN.

Structure (POSCAR):
```
YTlZn2W
1.0
5.114 0.000 0.000
0.000 5.114 0.000
0.000 0.000 5.578
Y Tl Zn W
1 1 2 1
direct
0.000 0.000 0.000
0.000 0.000 0.500
0.000 0.500 0.000
0.500 0.000 0.000
0.500 0.500 0.500
```

Computed properties:
Energy: -186.9 eV/cell



Entry 20:
A PBEsol-optimized structure of RePCl2, computed with SCAN.

Structure (POSCAR):
```
RePCl2
1.0
1.404 0.811 11.426
-1.404 0.811 11.426
0.000 -1.621 11.426
Re P Cl
1 1 2
direct
0.000 0.000 0.000
0.500 0.500 0.500
0.065 0.065 0.065
0.935 0.935 0.935
```

Computed properties:
Excess energy over the best structure of this formula in the dataset: 341 kJ/mol of formula units
Energy: -95.3 eV/cell
E_form (uncorrected): 0.544 eV per atom